VASP calculation (PBE) on a relaxed structure of Cs2PdCl2F2.

## Properties
Its symmetry is Pmm2 (25). For the energy relative to the lowest polymorph listed for this composition, the calculation gives 0.00 eV/f.u.

Cell: 4.1458 6.8306 6.8362 Å, 90.00 90.00 90.00°
Closest atoms and distances in Å follow each position.
Sites, in units of the cell vectors:
1 Cs 0.5000 0.0000 0.4557  4 F 3.02
2 Cs 0.5000 0.5000 0.0914  4 F 2.99
3 F 0.0000 0.7927 0.2112  1 Pd 2.04
4 F 0.0000 0.2073 0.2112  1 Pd 2.04
5 Pd 0.0000 0.0000 0.9956  2 F 2.04, 2 Cl 2.28
6 Cl 0.0000 0.2441 0.7674  1 Pd 2.28
7 Cl 0.0000 0.7559 0.7674  1 Pd 2.28

VASP calculation (PBE) on a relaxed structure of Li4TlCdPt2.

## Properties
Its symmetry is P-4m2 (115). As for the electronic total energy: -3.31 eV per atom.

Cell: 4.5185 4.5185 6.3773 Å, 90.00 90.00 90.00°
Closest atoms and distances in Å follow each position.
Sites, in units of the cell vectors:
1 Tl 0.5000 0.5000 0.5000  4 Pt 2.78, 4 Li 2.79
2 Cd 0.0000 0.0000 0.0000  4 Li 2.74, 4 Pt 2.75
3 Li 0.0000 0.0000 0.5000  4 Pt 2.78, 4 Li 2.79
4 Li 0.0000 0.5000 0.2439  2 Cd 2.74, 4 Li 2.74-2.79, 2 Tl 2.79
5 Li 0.5000 0.0000 0.7561  2 Cd 2.74, 4 Li 2.74-2.79, 2 Tl 2.79
6 Li 0.5000 0.5000 0.0000  4 Li 2.74, 4 Pt 2.75
7 Pt 0.0000 0.5000 0.7531  2 Cd 2.75, 4 Li 2.75-2.78, 2 Tl 2.78
8 Pt 0.5000 0.0000 0.2469  2 Cd 2.75, 4 Li 2.75-2.78, 2 Tl 2.78

VASP calculation (PBE) on a relaxed structure of Ta.

## Properties
Its symmetry is R-3m (166). The formation enthalpy at 0 K is 261 meV/atom. For the energy relative to the lowest polymorph listed for this composition, the calculation gives 0.26 eV/f.u.

Cell: 2.9154 2.9154 2.9154 Å, 117.41 117.41 62.59°
Closest atoms and distances in Å follow each position.
Sites, in units of the cell vectors:
1 Ta 0.0000 0.0000 0.0000  12 Ta 2.92-3.03

VASP calculation (PBE) on a relaxed structure of ScCdFeAs.

## Properties
Its symmetry is F-43m (216). For the energy relative to the lowest polymorph listed for this composition, the calculation gives 0.86 eV/f.u.

Cell: 4.6554 4.6554 4.6554 Å, 60.00 60.00 60.00°
Closest atoms and distances in Å follow each position.
Sites, in units of the cell vectors:
1 Fe 0.7500 0.7500 0.7500  4 As 2.85, 4 Sc 2.85
2 Sc 0.5000 0.5000 0.5000  4 Cd 2.85, 4 Fe 2.85
3 As 0.0000 0.0000 0.0000  4 Fe 2.85, 4 Cd 2.85
4 Cd 0.2500 0.2500 0.2500  4 Sc 2.85, 4 As 2.85

VASP calculation (PBE) on a relaxed structure of TbErNi2I2.

## Properties
Its symmetry is P3m1 (156). As for the electronic total energy: -4.79 eV per atom.

Cell: 4.0414 4.0414 11.9845 Å, 90.00 90.00 120.00°
Closest atoms and distances in Å follow each position.
Sites, in units of the cell vectors:
1 Ni 0.6667 0.3333 0.0067  3 Ni 2.34
2 Ni 0.3333 0.6667 0.9979  3 Ni 2.34
3 Tb 0.0000 0.0000 0.8517  6 Ni 2.92-2.98, 3 I 3.17
4 Er 0.0000 0.0000 0.1476  6 Ni 2.88-2.94, 3 I 3.15
5 I 0.3333 0.6667 0.3235  3 Er 3.15
6 I 0.6667 0.3333 0.6727  3 Tb 3.17

VASP calculation (PBE) on a relaxed structure of LaHfAu.

## Properties
Its symmetry is F-43m (216). The formation enthalpy at 0 K is 39 meV/atom. For the energy relative to the lowest polymorph listed for this composition, the calculation gives 0.00 eV/f.u.

Cell: 4.9254 4.9254 4.9254 Å, 60.00 60.00 60.00°
Closest atoms and distances in Å follow each position.
Sites, in units of the cell vectors:
1 Au 0.0000 0.0000 0.0000  4 Hf 3.02, 4 La 3.02
2 La 0.7500 0.7500 0.7500  4 Au 3.02
3 Hf 0.2500 0.2500 0.2500  4 Au 3.02

VASP calculation (PBE) on a relaxed structure of ScNbPd.

## Properties
Its symmetry is F-43m (216). The formation enthalpy at 0 K is 69 meV/atom. For the energy relative to the lowest polymorph listed for this composition, the calculation gives 0.00 eV/f.u.

Cell: 4.4609 4.4609 4.4609 Å, 60.00 60.00 60.00°
Closest atoms and distances in Å follow each position.
Sites, in units of the cell vectors:
1 Pd 0.0000 0.0000 0.0000  4 Nb 2.73, 4 Sc 2.73
2 Nb 0.2500 0.2500 0.2500  4 Pd 2.73
3 Sc 0.7500 0.7500 0.7500  4 Pd 2.73

VASP calculation (PBE) on a relaxed structure of Li2Dy2Si3.

## Properties
Its symmetry is Cmcm (63). As for the electronic total energy: -4.79 eV per atom.

Cell: 9.2278 9.2278 6.6397 Å, 90.00 90.00 153.33°
Closest atoms and distances in Å follow each position.
Sites, in units of the cell vectors:
1 Dy 0.9482 0.0518 0.2500  9 Si 3.02-3.15
2 Dy 0.0518 0.9482 0.7500  9 Si 3.02-3.15
3 Dy 0.1567 0.8433 0.2500  6 Si 2.99-3.06, 6 Li 3.02-3.03
4 Dy 0.8433 0.1567 0.7500  6 Si 2.99-3.06, 6 Li 3.02-3.03
5 Si 0.7794 0.2205 0.2500  6 Li 2.53-2.62
6 Si 0.4403 0.5597 0.9285  2 Si 2.35-2.37, 1 Li 2.50
7 Si 0.5597 0.4403 0.4285  2 Si 2.35-2.37, 1 Li 2.50
8 Si 0.2205 0.7794 0.7500  6 Li 2.53-2.62
9 Si 0.5597 0.4403 0.0715  2 Si 2.35-2.37, 1 Li 2.50
10 Si 0.4403 0.5597 0.5715  2 Si 2.35-2.37, 1 Li 2.50
11 Li 0.3102 0.6898 0.0610  4 Si 2.50-2.62, 1 Li 2.51
12 Li 0.6898 0.3102 0.5610  4 Si 2.50-2.62, 1 Li 2.51
13 Li 0.3102 0.6898 0.4390  4 Si 2.50-2.62, 1 Li 2.51
14 Li 0.6898 0.3102 0.9390  4 Si 2.50-2.62, 1 Li 2.51

Repeat the first record exactly.
VASP calculation (PBE) on a relaxed structure of Cs2PdCl2F2.

## Properties
Its symmetry is Pmm2 (25). For the energy relative to the lowest polymorph listed for this composition, the calculation gives 0.00 eV/f.u.

Cell: 4.1458 6.8306 6.8362 Å, 90.00 90.00 90.00°
Closest atoms and distances in Å follow each position.
Sites, in units of the cell vectors:
1 Cs 0.5000 0.0000 0.4557  4 F 3.02
2 Cs 0.5000 0.5000 0.0914  4 F 2.99
3 F 0.0000 0.7927 0.2112  1 Pd 2.04
4 F 0.0000 0.2073 0.2112  1 Pd 2.04
5 Pd 0.0000 0.0000 0.9956  2 F 2.04, 2 Cl 2.28
6 Cl 0.0000 0.2441 0.7674  1 Pd 2.28
7 Cl 0.0000 0.7559 0.7674  1 Pd 2.28

Number 7 is which compound? ScNbPd

Copy entry 4 word for word.
VASP calculation (PBE) on a relaxed structure of ScCdFeAs.

## Properties
Its symmetry is F-43m (216). For the energy relative to the lowest polymorph listed for this composition, the calculation gives 0.86 eV/f.u.

Cell: 4.6554 4.6554 4.6554 Å, 60.00 60.00 60.00°
Closest atoms and distances in Å follow each position.
Sites, in units of the cell vectors:
1 Fe 0.7500 0.7500 0.7500  4 As 2.85, 4 Sc 2.85
2 Sc 0.5000 0.5000 0.5000  4 Cd 2.85, 4 Fe 2.85
3 As 0.0000 0.0000 0.0000  4 Fe 2.85, 4 Cd 2.85
4 Cd 0.2500 0.2500 0.2500  4 Sc 2.85, 4 As 2.85